w.
Below is a relaxed La3SmNi crystal, with properties calculated at the PBE-GGA level.

Cell: 12.313 3.793 14.377 Å, 90.00 113.27 90.00°
Space group Cm (No. 8)
Asymmetric unit:
La: 0.000 0.000 0.000 [2 per cell]
La: 0.000 0.000 0.369 [2 per cell]
La: 0.056 0.500 0.612 [2 per cell]
La: 0.176 0.500 0.893 [2 per cell]
La: 0.343 0.000 0.129 [2 per cell]
La: 0.345 0.000 0.756 [2 per cell]
Sm: 0.171 0.500 0.241 [2 per cell]
Sm: 0.285 0.500 0.512 [2 per cell]
Ni: 0.024 0.000 0.747 [2 per cell]
Ni: 0.322 0.000 0.380 [2 per cell]

=====

x.
Below is a relaxed La3SmNi crystal, with properties calculated at the PBE-GGA level.

Cell: 7.804 6.747 6.321 Å, 90.00 90.00 90.00°
Space group Pmn2_1 (No. 31)
Asymmetric unit:
La: 0.000 0.149 0.000 [2 per cell]
La: 0.249 0.321 0.501 [4 per cell]
Sm: 0.000 0.845 0.509 [2 per cell]
Ni: 0.000 0.505 0.251 [2 per cell]

=====

Stability ranking, top entry: w; the second entry is 0.083 eV/atom less favorable.

=====

w.
Below is a relaxed La2SmNi crystal, with properties calculated at the PBE-GGA level.

Cell: 7.117 10.197 6.500 Å, 90.00 90.00 90.00°
Space group Pnma (No. 62)
Asymmetric unit:
La: 0.173 0.068 0.175 [8 per cell]
Sm: 0.033 0.250 0.655 [4 per cell]
Ni: 0.118 0.750 0.929 [4 per cell]

=====

x.
Below is a relaxed La2SmNi crystal, with properties calculated at the PBE-GGA level.

Cell: 3.9116 3.9116 28.1827 Å, 90.00 90.00 120.00°
Space group R3m (No. 160, hexagonal axes)
Asymmetric unit:
La: 0.0000 0.0000 0.0000 [3 per cell]
La: 0.0000 0.0000 0.2117 [3 per cell]
Sm: 0.0000 0.0000 0.4387 [3 per cell]
Ni: 0.0000 0.0000 0.6056 [3 per cell]

=====

Stability ranking, top entry: w; the second entry is 0.108 eV/atom less favorable.